A plane-wave DFT calculation with PBE was carried out for an optimized crystal structure of KHgTe2I.

Summary:
As for the space-group type: No. 123. The density of states at the Fermi level is 4.5 states/eV/f.u. Its distance to the lowest polymorph of the same formula is 0.5608 eV per atom. The calculation puts the electronic total energy at -7.39 eV per cell. The value obtained for the formation energy without anion corrections is 0.37 eV per atom. The value obtained for the total magnetic moment is 4.023 μB/f.u.

Unit cell a=6.813 b=6.813 c=6.535 alpha=90.00 beta=90.00 gamma=90.00
Last column: magnetic moment on the atom in μB.
Fractional coordinates of all 5 atoms:
I 0.000 0.000 0.500  0.23
K 0.000 0.000 0.000  0.01
Te 0.000 0.500 0.000  0.91
Te 0.500 0.000 0.000  0.91
Hg 0.500 0.500 0.500  0.05